Record 1
AgHgIN2 after structural relaxation, computed with PBE.

Calculated total energy = -13.20 eV/cell
Uncorrected formation energy = 787 kJ/mol of formula units
Relative energy among the computed polymorphs = 0 meV/atom
Total magnetization = 3.7 μB per cell
SG = P4/mmm
Fermi-level density of states = 2.34 states/eV per cell

Cell: 4.2446 4.2446 7.5484 Å, 90.00 90.00 90.00°
Site moments in Bohr magnetons follow the coordinates.
Positions (direct):
Ag  0.0000  0.0000  0.0000  0.23
N  0.5000  0.0000  0.0000  1.18
N  0.0000  0.5000  0.0000  1.18
Hg  0.5000  0.5000  0.5000  0.00
I  0.0000  0.0000  0.5000  0.01

=====

Record 2
CaReNi after structural relaxation, computed with PBE.

Calculated total energy = -18.16 eV/cell
Relative energy among the computed polymorphs = 325 meV/atom
Total magnetization = 0.0 μB per cell
SG = P3m1
E_form = 689 meV per atom
Fermi-level density of states = 5.06 states/eV per cell

Cell: 2.8974 2.8974 6.9531 Å, 90.00 90.00 120.00°
Positions (direct):
Ca  0.0000  0.0000  0.0060
Ni  0.6667  0.3333  0.3593
Re  0.3333  0.6667  0.6347

=====

Record 3
MnFeHg2 after structural relaxation, computed with PBE.

Calculated total energy = -16.55 eV/cell
Relative energy among the computed polymorphs = 60 meV/atom
Total magnetization = 6.6 μB per cell
SG = P4/mmm
E_form = 422 meV per atom
Fermi-level density of states = 3.15 states/eV per cell

Cell: 3.0405 3.0405 7.5540 Å, 90.00 90.00 90.03°
Site moments in Bohr magnetons follow the coordinates.
Positions (direct):
Hg  0.0000  0.0000  0.9949  -0.06
Hg  0.0000  0.0000  0.5051  -0.06
Fe  0.5000  0.5000  0.7500  2.82
Mn  0.5000  0.5000  0.2500  3.75

=====

Record 4
NbHg2Rh after structural relaxation, computed with PBE.

Calculated total energy = -17.03 eV/cell
Relative energy among the computed polymorphs = 0 meV/atom
Total magnetization = 0.0 μB per cell
SG = Fm-3m
E_form = 250 meV per atom
Fermi-level density of states = 2.26 states/eV per cell

Cell: 4.6819 4.6819 4.6819 Å, 60.00 60.00 60.00°
Positions (direct):
Hg  0.7500  0.7500  0.7500
Hg  0.2500  0.2500  0.2500
Nb  0.0000  0.0000  0.0000
Rh  0.5000  0.5000  0.5000

=====

What did the fourth record say?
NbHg2Rh after structural relaxation, computed with PBE.

Calculated total energy = -17.03 eV/cell
Relative energy among the computed polymorphs = 0 meV/atom
Total magnetization = 0.0 μB per cell
SG = Fm-3m
E_form = 250 meV per atom
Fermi-level density of states = 2.26 states/eV per cell

Cell: 4.6819 4.6819 4.6819 Å, 60.00 60.00 60.00°
Positions (direct):
Hg  0.7500  0.7500  0.7500
Hg  0.2500  0.2500  0.2500
Nb  0.0000  0.0000  0.0000
Rh  0.5000  0.5000  0.5000

=====

- Which value of total magnetization does entry 1 give?
  3.7 μB per cell

=====

- Among the records above, which one has the highest total magnetization?
  MnFeHg2

=====

- Number 3 is which compound?
  MnFeHg2